Entry from Alexandria: a PBEsol-optimized structure of Y3Fe29 (meta-GGA SCAN).

Its space-group type is C2/m, No. 12. The formation energy is 0.032 eV/atom.

Cell lengths 6.224, 6.224, 10.189 Å; angles 94.97, 94.97, 82.58 degrees
Positions (direct):
Y 0.000 0.000 0.000
Y 0.187 0.187 0.597
Y 0.813 0.813 0.403
Fe 0.000 0.500 0.000
Fe 0.093 0.093 0.293
Fe 0.098 0.594 0.801
Fe 0.126 0.687 0.198
Fe 0.165 0.458 0.378
Fe 0.191 0.689 0.596
Fe 0.279 0.279 0.891
Fe 0.292 0.292 0.141
Fe 0.311 0.809 0.404
Fe 0.313 0.874 0.802
Fe 0.360 0.640 0.000
Fe 0.406 0.902 0.199
Fe 0.458 0.165 0.378
Fe 0.482 0.482 0.747
Fe 0.500 0.000 0.000
Fe 0.500 0.500 0.500
Fe 0.518 0.518 0.253
Fe 0.542 0.835 0.622
Fe 0.594 0.098 0.801
Fe 0.640 0.360 0.000
Fe 0.687 0.126 0.198
Fe 0.689 0.191 0.596
Fe 0.708 0.708 0.859
Fe 0.721 0.721 0.109
Fe 0.809 0.311 0.404
Fe 0.835 0.542 0.622
Fe 0.874 0.313 0.802
Fe 0.902 0.406 0.199
Fe 0.907 0.907 0.707